Entry 1:
# Rb2UInTe4 | Alexandria | GGA-PBE | optimized geometry
data_Rb2UInTe4
_chemical_formula_sum 'Rb2 U1 In1 Te4'
_symmetry_space_group_name_H-M 'P 1'
_symmetry_Int_Tables_number 1
_cell_length_a 7.6613
_cell_length_b 7.4477
_cell_length_c 7.4477
_cell_angle_alpha 74.66
_cell_angle_beta 59.05
_cell_angle_gamma 59.05
loop_
_symmetry_equiv_pos_as_xyz
'x,y,z'
loop_
_atom_site_label
_atom_site_type_symbol
_atom_site_fract_x
_atom_site_fract_y
_atom_site_fract_z
_atom_site_occupancy
Rb1 Rb 0.0000 0.5000 0.5000 1
Rb2 Rb 0.5000 0.5000 0.5000 1
U1 U 0.0000 0.0000 0.0000 1
In1 In 0.5000 0.0000 0.0000 1
Te1 Te 0.0924 0.3550 0.0000 1
Te2 Te 0.9076 0.0000 0.6450 1
Te3 Te 0.5526 0.0000 0.3550 1
Te4 Te 0.4474 0.6450 0.0000 1
# DOS(E_F) (states/eV per atom): 0.278
# Formation energy without anion corrections (eV/atom): -0.66

***

Entry 2:
# Ca2AlInAg6 | Alexandria | GGA-PBE | optimized geometry
data_Ca2AlInAg6
_chemical_formula_sum 'Ca2 Al1 In1 Ag6'
_symmetry_space_group_name_H-M 'P 1'
_symmetry_Int_Tables_number 1
_cell_length_a 7.1487
_cell_length_b 7.1491
_cell_length_c 7.1528
_cell_angle_alpha 59.96
_cell_angle_beta 59.97
_cell_angle_gamma 89.89
loop_
_symmetry_equiv_pos_as_xyz
'x,y,z'
loop_
_atom_site_label
_atom_site_type_symbol
_atom_site_fract_x
_atom_site_fract_y
_atom_site_fract_z
_atom_site_occupancy
Ca1 Ca 0.2500 0.7500 0.5000 1
Ca2 Ca 0.7500 0.2500 0.5000 1
Al1 Al 0.5000 0.5000 0.0000 1
In1 In 0.0000 0.0000 0.0000 1
Ag1 Ag 0.2596 0.7404 0.0000 1
Ag2 Ag 0.7403 0.7403 0.0001 1
Ag3 Ag 0.2596 0.2597 0.4808 1
Ag4 Ag 0.7404 0.2596 0.0000 1
Ag5 Ag 0.2597 0.2597 0.9999 1
Ag6 Ag 0.7404 0.7403 0.5192 1
# DOS(E_F) (states/eV per atom): 0.481

***

Entry 3:
# CaReTc | Alexandria | GGA-PBE | optimized geometry
data_CaReTc
_chemical_formula_sum 'Ca1 Re1 Tc1'
_symmetry_space_group_name_H-M 'P 1'
_symmetry_Int_Tables_number 1
_cell_length_a 7.6279
_cell_length_b 7.4383
_cell_length_c 2.8014
_cell_angle_alpha 83.12
_cell_angle_beta 75.50
_cell_angle_gamma 21.38
loop_
_symmetry_equiv_pos_as_xyz
'x,y,z'
loop_
_atom_site_label
_atom_site_type_symbol
_atom_site_fract_x
_atom_site_fract_y
_atom_site_fract_z
_atom_site_occupancy
Re1 Re 0.3201 0.3201 0.6799 1
Ca1 Ca 0.0005 0.0005 0.9995 1
Tc1 Tc 0.6794 0.6794 0.3206 1
# DOS(E_F) (states/eV per atom): 0.767
# Energy above the most stable polymorph in this dataset (eV per atom): 0.288

***

Entry 4:
# HoAl2Co2Si | Alexandria | GGA-PBE | optimized geometry
data_HoAl2Co2Si
_chemical_formula_sum 'Ho1 Al2 Co2 Si1'
_symmetry_space_group_name_H-M 'P 1'
_symmetry_Int_Tables_number 1
_cell_length_a 4.2231
_cell_length_b 4.2231
_cell_length_c 5.5350
_cell_angle_alpha 90.00
_cell_angle_beta 90.00
_cell_angle_gamma 90.00
loop_
_symmetry_equiv_pos_as_xyz
'x,y,z'
loop_
_atom_site_label
_atom_site_type_symbol
_atom_site_fract_x
_atom_site_fract_y
_atom_site_fract_z
_atom_site_occupancy
Ho1 Ho 0.0000 0.0000 0.5000 1
Al1 Al 0.5000 0.5000 0.7448 1
Al2 Al 0.5000 0.5000 0.2552 1
Co1 Co 0.5000 0.0000 0.0000 1
Co2 Co 0.0000 0.5000 0.0000 1
Si1 Si 0.0000 0.0000 0.0000 1
# DOS(E_F) (states/eV per atom): 0.904
# Formation energy without anion corrections (eV/atom): -0.38

***

Entry 5:
# BaCe2Os | Alexandria | GGA-PBE | optimized geometry
data_BaCe2Os
_chemical_formula_sum 'Ba1 Ce2 Os1'
_symmetry_space_group_name_H-M 'P 1'
_symmetry_Int_Tables_number 1
_cell_length_a 3.5773
_cell_length_b 3.5773
_cell_length_c 10.0464
_cell_angle_alpha 90.00
_cell_angle_beta 90.00
_cell_angle_gamma 90.00
loop_
_symmetry_equiv_pos_as_xyz
'x,y,z'
loop_
_atom_site_label
_atom_site_type_symbol
_atom_site_fract_x
_atom_site_fract_y
_atom_site_fract_z
_atom_site_occupancy
Os1 Os 0.5000 0.5000 0.0000 1
Ba1 Ba 0.5000 0.5000 0.5000 1
Ce1 Ce 0.0000 0.0000 0.8451 1
Ce2 Ce 0.0000 0.0000 0.1549 1
# DOS(E_F) (states/eV per atom): 2.522
# Energy above the most stable polymorph in this dataset (eV per atom): 0.000

***

Entry 6:
# ZrAuS2Cl | Alexandria | GGA-PBE | optimized geometry
data_ZrAuS2Cl
_chemical_formula_sum 'Zr1 Au1 S2 Cl1'
_symmetry_space_group_name_H-M 'P 1'
_symmetry_Int_Tables_number 1
_cell_length_a 4.8963
_cell_length_b 4.8963
_cell_length_c 4.7170
_cell_angle_alpha 90.00
_cell_angle_beta 90.00
_cell_angle_gamma 90.00
loop_
_symmetry_equiv_pos_as_xyz
'x,y,z'
loop_
_atom_site_label
_atom_site_type_symbol
_atom_site_fract_x
_atom_site_fract_y
_atom_site_fract_z
_atom_site_occupancy
S1 S 0.0000 0.5000 0.0000 1
S2 S 0.5000 0.0000 0.0000 1
Au1 Au 0.0000 0.0000 0.0000 1
Zr1 Zr 0.5000 0.5000 0.5000 1
Cl1 Cl 0.0000 0.0000 0.5000 1
# DOS(E_F) (states/eV per atom): 0.882
# Formation energy without anion corrections (eV/atom): 0.29
# Energy above the most stable polymorph in this dataset (eV per atom): 0.745

***

It is found that the E values, taken in the order of the records, are -4.221 -2.694 -7.641 -5.658 -6.162 -4.097 eV/atom.
It is found that the magnetic moment values, taken in the order of the records, are 3.0 0.0 0.0 1.0 1.1 1.2 μB per formula unit.